Entry from Alexandria: ZrAl2ZnCr after structural relaxation (GGA-PBE).

Summary:
Energy, eV for the cell shown: -24.8
Total moment, μB/f.u.: 0.000
E_form, eV/atom: 0.429
Offset from the most stable computed form, eV/atom: 0.000

a = 4.709 Å, b = 4.618 Å, c = 4.709 Å
α = 90.00°, β = 90.00°, γ = 90.00°
Atoms (fractional coordinates):
Cr  0.000  0.000  0.000
Zn  0.500  0.500  0.500
Al  0.000  0.000  0.500
Al  0.500  0.000  0.000
Zr  0.000  0.500  0.000



Entry from Alexandria: ReRuAu2 after structural relaxation (GGA-PBE).

Summary:
Energy, eV for the cell shown: -25.9
Total moment, μB/f.u.: 0.000
E_form, eV/atom: 0.594
Offset from the most stable computed form, eV/atom: 0.434

a = 5.022 Å, b = 5.022 Å, c = 5.022 Å
α = 134.31°, β = 134.31°, γ = 66.60°
Atoms (fractional coordinates):
Au  0.000  0.000  0.000
Au  0.500  0.500  0.000
Re  0.250  0.750  0.500
Ru  0.750  0.250  0.500



Entry from Alexandria: Tm2Ga3Si after structural relaxation (GGA-PBE).

Summary:
Energy, eV for the cell shown: -27.0
Total moment, μB/f.u.: 0.000
Formation energy (no corrections), kJ/mol of formula units: -342.3

a = 3.980 Å, b = 4.151 Å, c = 7.156 Å
α = 90.00°, β = 90.00°, γ = 90.00°
Atoms (fractional coordinates):
Tm  0.000  0.500  0.007
Tm  0.000  0.000  0.494
Ga  0.500  0.000  0.831
Ga  0.500  0.000  0.167
Ga  0.500  0.500  0.666
Si  0.500  0.500  0.334



Entry from Alexandria: Ba2CoSi3Pt12 after structural relaxation (GGA-PBE).

Summary:
Energy, eV for the cell shown: -105.3
Total moment, μB/f.u.: 2.358
Formation energy (no corrections), kJ/mol of formula units: -535.4

a = 7.973 Å, b = 7.973 Å, c = 7.973 Å
α = 62.00°, β = 62.00°, γ = 62.00°
Each line ends with the local moment (μB).
Atoms (fractional coordinates):
Ba  0.620  0.620  0.620  0.00
Ba  0.380  0.380  0.380  0.00
Co  0.000  0.000  0.000  1.92
Si  0.500  0.000  0.000  -0.01
Si  0.000  0.500  0.000  -0.01
Si  0.000  0.000  0.500  -0.01
Pt  0.351  0.351  0.902  0.00
Pt  0.888  0.888  0.363  0.09
Pt  0.363  0.888  0.888  0.09
Pt  0.902  0.351  0.351  0.00
Pt  0.888  0.363  0.888  0.09
Pt  0.351  0.902  0.351  0.00
Pt  0.649  0.649  0.098  0.00
Pt  0.112  0.112  0.637  0.09
Pt  0.637  0.112  0.112  0.09
Pt  0.098  0.649  0.649  0.00
Pt  0.112  0.637  0.112  0.09
Pt  0.649  0.098  0.649  0.00



Entry from Alexandria: Tm5SbTe4 after structural relaxation (GGA-PBE).

Summary:
Energy, eV for the cell shown: -50.8
Total moment, μB/f.u.: 0.000
Formation energy (no corrections), kJ/mol of formula units: -1132.1

a = 6.086 Å, b = 7.466 Å, c = 7.466 Å
α = 80.44°, β = 65.95°, γ = 65.95°
Atoms (fractional coordinates):
Tm  0.899  0.393  0.810
Tm  0.292  0.810  0.607
Tm  0.709  0.190  0.393
Tm  0.102  0.607  0.190
Tm  0.502  0.000  0.000
Sb  0.002  0.000  0.000
Te  0.404  0.400  0.793
Te  0.804  0.793  0.600
Te  0.198  0.207  0.400
Te  0.597  0.600  0.207



Entry from Alexandria: Pr4GeNCl2 after structural relaxation (GGA-PBE).

Summary:
Energy, eV for the cell shown: -46.4
Total moment, μB/f.u.: 0.000
Formation energy (no corrections), kJ/mol of formula units: -1031.1

a = 3.989 Å, b = 7.009 Å, c = 7.595 Å
α = 108.49°, β = 90.00°, γ = 90.00°
Atoms (fractional coordinates):
Pr  0.500  0.278  0.204
Pr  0.500  0.722  0.796
Pr  0.000  0.292  0.802
Pr  0.000  0.708  0.198
Ge  0.000  0.000  0.000
N  0.500  0.500  0.000
Cl  0.500  0.000  0.500
Cl  0.000  0.500  0.500



Entry from Alexandria: Fe2Ru after structural relaxation (GGA-PBE).

Summary:
Energy, eV for the cell shown: -74.3
Total moment, μB/f.u.: 4.748
E_form, eV/atom: 0.481

a = 5.923 Å, b = 5.923 Å, c = 3.997 Å
α = 90.00°, β = 90.00°, γ = 120.00°
Each line ends with the local moment (μB).
Atoms (fractional coordinates):
Fe  0.000  0.239  0.000  1.53
Fe  0.000  0.553  0.500  2.87
Fe  0.239  0.000  0.000  1.53
Fe  0.761  0.761  0.000  1.53
Fe  0.553  0.000  0.500  2.87
Fe  0.447  0.447  0.500  2.87
Ru  0.000  0.000  0.500  0.15
Ru  0.333  0.667  0.000  0.40
Ru  0.667  0.333  0.000  0.40



Entry from Alexandria: Ta7Se12N after structural relaxation (GGA-PBE).

Summary:
Energy, eV for the cell shown: -147.7
Total moment, μB/f.u.: 0.000
Formation energy (no corrections), kJ/mol of formula units: -1405.3

a = 8.082 Å, b = 8.082 Å, c = 8.082 Å
α = 108.13°, β = 108.13°, γ = 108.13°
Atoms (fractional coordinates):
Ta  0.963  0.700  0.894
Ta  0.300  0.106  0.037
Ta  0.106  0.037  0.300
Ta  0.500  0.500  0.500
Ta  0.894  0.963  0.700
Ta  0.700  0.894  0.963
Ta  0.037  0.300  0.106
Se  0.919  0.312  0.779
Se  0.688  0.221  0.081
Se  0.473  0.149  0.389
Se  0.851  0.611  0.527
Se  0.221  0.081  0.688
Se  0.611  0.527  0.851
Se  0.389  0.473  0.149
Se  0.779  0.919  0.312
Se  0.149  0.389  0.473
Se  0.527  0.851  0.611
Se  0.312  0.779  0.919
Se  0.081  0.688  0.221
N  0.000  0.000  0.000



Entry from Alexandria: NdYLu2 after structural relaxation (GGA-PBE).

Summary:
Energy, eV for the cell shown: -19.9
Total moment, μB/f.u.: 0.001
E_form, eV/atom: 0.094
Offset from the most stable computed form, eV/atom: 0.061

a = 4.061 Å, b = 4.061 Å, c = 7.735 Å
α = 90.00°, β = 90.00°, γ = 90.00°
Atoms (fractional coordinates):
Y  0.500  0.500  0.500
Lu  0.000  0.000  0.744
Lu  0.000  0.000  0.256
Nd  0.500  0.500  0.000



Entry from Alexandria: Zr2NiPt after structural relaxation (GGA-PBE).

Summary:
Energy, eV for the cell shown: -30.7
Total moment, μB/f.u.: 0.000
E_form, eV/atom: -0.437

a = 3.975 Å, b = 3.975 Å, c = 6.411 Å
α = 76.14°, β = 76.14°, γ = 52.78°
Atoms (fractional coordinates):
Ni  0.750  0.750  0.750
Pt  0.250  0.250  0.250
Zr  0.003  0.003  0.984
Zr  0.497  0.497  0.516



Entry from Alexandria: Pr2Y3Au2 after structural relaxation (GGA-PBE).

Summary:
Energy, eV for the cell shown: -39.0
Total moment, μB/f.u.: 0.000
E_form, eV/atom: -0.500

a = 3.764 Å, b = 6.787 Å, c = 9.336 Å
α = 115.73°, β = 90.00°, γ = 106.10°
Atoms (fractional coordinates):
Pr  0.847  0.694  0.186
Pr  0.153  0.306  0.814
Y  0.500  0.000  0.000
Y  0.614  0.229  0.446
Y  0.386  0.771  0.554
Au  0.835  0.669  0.765
Au  0.165  0.331  0.235



Entry from Alexandria: K8Rb3Tl after structural relaxation (GGA-PBE).

Summary:
Energy, eV for the cell shown: -28.0
Total moment, μB/f.u.: 0.000
E_form, eV/atom: 0.002

a = 9.158 Å, b = 14.587 Å, c = 14.587 Å
α = 120.00°, β = 90.00°, γ = 90.00°
Atoms (fractional coordinates):
K  0.982  0.039  0.519
K  0.982  0.481  0.961
K  0.982  0.481  0.519
K  0.482  0.961  0.481
K  0.482  0.519  0.039
K  0.482  0.519  0.481
K  0.772  0.422  0.211
K  0.772  0.789  0.578
K  0.772  0.789  0.211
K  0.272  0.578  0.789
K  0.272  0.211  0.422
K  0.272  0.211  0.789
K  0.641  0.333  0.667
K  0.141  0.667  0.333
K  0.019  0.000  0.000
K  0.519  0.000  0.000
Rb  0.770  0.683  0.842
Rb  0.770  0.158  0.317
Rb  0.770  0.158  0.842
Rb  0.270  0.317  0.158
Rb  0.270  0.842  0.683
Rb  0.270  0.842  0.158
Tl  0.042  0.333  0.667
Tl  0.542  0.667  0.333



Entry from Alexandria: Na2PuAu3 after structural relaxation (GGA-PBE).

Summary:
Energy, eV for the cell shown: -28.8
Total moment, μB/f.u.: 6.113
E_form, eV/atom: -0.332

a = 3.464 Å, b = 3.464 Å, c = 11.279 Å
α = 90.00°, β = 90.00°, γ = 90.00°
Each line ends with the local moment (μB).
Atoms (fractional coordinates):
Na  0.500  0.500  0.844  0.01
Na  0.500  0.500  0.156  0.01
Pu  0.500  0.500  0.500  5.51
Au  0.000  0.000  0.000  0.01
Au  0.000  0.000  0.671  0.05
Au  0.000  0.000  0.329  0.05



Entry from Alexandria: RbSi2Sn after structural relaxation (GGA-PBE).

Summary:
Energy, eV for the cell shown: -29.0
Total moment, μB/f.u.: 0.000
Formation energy (no corrections), kJ/mol of formula units: 126.2

a = 5.156 Å, b = 5.156 Å, c = 10.198 Å
α = 75.36°, β = 75.36°, γ = 90.00°
Atoms (fractional coordinates):
Si  0.875  0.125  0.250
Si  0.875  0.625  0.250
Si  0.375  0.125  0.750
Si  0.875  0.125  0.750
Sn  0.000  0.000  0.000
Sn  0.750  0.250  0.500
Rb  0.500  0.500  0.000
Rb  0.250  0.750  0.500



Entry from Alexandria: Ba2LaTc after structural relaxation (GGA-PBE).

Summary:
Energy, eV for the cell shown: -17.7
Total moment, μB/f.u.: 0.000
E_form, eV/atom: 0.359
Offset from the most stable computed form, eV/atom: 0.020

a = 7.243 Å, b = 7.243 Å, c = 7.243 Å
α = 148.56°, β = 129.38°, γ = 60.81°
Atoms (fractional coordinates):
Ba  0.056  0.056  0.000
Ba  0.740  0.240  0.500
La  0.416  0.416  0.000
Tc  0.289  0.789  0.500



Entry from Alexandria: SiHBr3 after structural relaxation (GGA-PBE).

Summary:
Energy, eV for the cell shown: -33.8
Total moment, μB/f.u.: 0.000
Offset from the most stable computed form, eV/atom: 0.000

a = 6.863 Å, b = 5.091 Å, c = 10.592 Å
α = 89.97°, β = 90.06°, γ = 89.98°
Atoms (fractional coordinates):
Si  0.723  0.821  0.299
Si  0.223  0.532  0.799
H  0.709  0.531  0.299
H  0.209  0.822  0.799
Br  0.534  0.415  0.800
Br  0.578  0.978  0.128
Br  0.078  0.375  0.628
Br  0.034  0.938  0.300
Br  0.077  0.375  0.970
Br  0.578  0.978  0.470



Entry from Alexandria: Os2RhAu after structural relaxation (GGA-PBE).

Summary:
Energy, eV for the cell shown: -32.2
Total moment, μB/f.u.: 0.002
E_form, eV/atom: 0.215
Offset from the most stable computed form, eV/atom: 0.000

a = 9.277 Å, b = 9.277 Å, c = 9.277 Å
α = 17.18°, β = 17.18°, γ = 17.18°
Atoms (fractional coordinates):
Os  0.006  0.006  0.006
Os  0.749  0.749  0.749
Rh  0.495  0.495  0.495
Au  0.250  0.250  0.250